Compound: LuTl
Source: the Alexandria database
Functional: meta-GGA SCAN
Structure: PBEsol geometry

CIF file:
```
data_LuTl
_chemical_formula_sum 'Lu1 Tl1'
_cell_length_a 3.431
_cell_length_b 3.431
_cell_length_c 4.166
_cell_angle_alpha 90.00
_cell_angle_beta 90.00
_cell_angle_gamma 90.00
_symmetry_space_group_name_H-M 'P 4/m m m'
_symmetry_Int_Tables_number 123
_symmetry_space_group_name_Hall '-P 4 2'
loop_
_atom_site_label
_atom_site_fract_x
_atom_site_fract_y
_atom_site_fract_z
Lu1 0.000 0.000 0.000
Tl1 0.500 0.500 0.500
```

Results
calculated density = 12845 kg/m³
calculated formation energy = -0.45 eV per atom